A relaxed structure of NdY6Ho4. Source: Alexandria via LeMat-Bulk, functional PBE.

Output
Size of the total moment ... 0.00 μB/atom
Distance to the lowest polymorph of the same formula ... 0 meV per atom

Geometry as CIF:
```
data_NdY6Ho4
_symmetry_space_group_name_H-M 'C m c m'
_symmetry_Int_Tables_number 63
_symmetry_space_group_name_Hall '-C 2c 2'
_cell_length_a 5.6900
_cell_length_b 9.7163
_cell_length_c 25.7876
_cell_angle_alpha 90.00
_cell_angle_beta 90.00
_cell_angle_gamma 90.00
loop_
_atom_site_label
_atom_site_type_symbol
_atom_site_fract_x
_atom_site_fract_y
_atom_site_fract_z
_atom_site_occupancy
Nd1 Nd 0.0000 0.1760 0.2500 1
Y1 Y 0.0000 0.1550 0.6804 1
Y2 Y 0.0000 0.1780 0.1017 1
Y3 Y 0.0000 0.4901 0.7500 1
Y4 Y 0.0000 0.5000 0.0000 1
Ho1 Ho 0.0000 0.1624 0.5416 1
Ho2 Ho 0.0000 0.4856 0.6209 1
```